NaHfAl: relaxed, PBE. Values from VASP.

The structure in Quantum ESPRESSO input format:
```
&SYSTEM
  ibrav = 0, nat = 3, ntyp = 3
/
ATOMIC_SPECIES
Na 22.99 Na.upf
Hf 178.49 Hf.upf
Al 26.98 Al.upf
CELL_PARAMETERS angstrom
0.000 3.366 3.366
3.366 0.000 3.366
3.366 3.366 0.000
ATOMIC_POSITIONS crystal
Na 0.000 0.000 0.000
Hf 0.500 0.500 0.500
Al 0.250 0.250 0.250
```

## Properties
The formation energy is 0.698 eV/atom. As for the volume: 25.43 Å³ per atom. The symmetry is F-43m (216). Its density of states at the Fermi level is 0.5 states/eV/cell. As for the energy: -4.307 eV/atom.



Ho2GaNi7: relaxed, PBE. Values from VASP.

The structure in Quantum ESPRESSO input format:
```
&SYSTEM
  ibrav = 0, nat = 10, ntyp = 3
/
ATOMIC_SPECIES
Ho 164.93 Ho.upf
Ga 69.72 Ga.upf
Ni 58.69 Ni.upf
CELL_PARAMETERS angstrom
3.756 0.000 0.000
0.000 3.756 0.000
0.000 0.000 10.522
ATOMIC_POSITIONS crystal
Ho 0.000 0.500 0.234
Ho 0.500 0.000 0.766
Ga 0.000 0.000 0.500
Ni 0.000 0.000 0.000
Ni 0.000 0.500 0.643
Ni 0.000 0.500 0.860
Ni 0.500 0.000 0.140
Ni 0.500 0.000 0.357
Ni 0.500 0.500 0.000
Ni 0.500 0.500 0.500
```

## Properties
The formation energy is -0.313 eV/atom. As for the volume: 14.85 Å³ per atom. The symmetry is P-4m2 (115). Its density of states at the Fermi level is 13.7 states/eV/cell. As for the energy: -5.578 eV/atom.



LaGa2CoAu: relaxed, PBE. Values from VASP.

The structure in Quantum ESPRESSO input format:
```
&SYSTEM
  ibrav = 0, nat = 5, ntyp = 4
/
ATOMIC_SPECIES
La 138.91 La.upf
Ga 69.72 Ga.upf
Co 58.93 Co.upf
Au 196.97 Au.upf
CELL_PARAMETERS angstrom
4.518 0.000 0.000
0.000 4.518 0.000
0.000 0.000 5.071
ATOMIC_POSITIONS crystal
La 0.000 0.000 0.000
Ga 0.000 0.500 0.500
Ga 0.500 0.000 0.500
Co 0.500 0.500 0.500
Au 0.500 0.500 0.000
```

## Properties
The formation energy is -0.422 eV/atom. As for the volume: 20.70 Å³ per atom. The symmetry is P4/mmm (123). Its density of states at the Fermi level is 2.7 states/eV/cell. As for the energy: -4.695 eV/atom.



Q: What is the volume in the first record?
A: 25.43 Å³ per atom